GGA-PBE Tb4Er3Ag, relaxed; symmetry = P4/mmm; uncorrected energy = -4.435 eV/atom; DOS at the Fermi energy = 10.3 states/eV per cell; magnetic moment = 0.0 μB per formula unit; E_form = -0.05 eV per atom
1.0
3.5407 0.0000 0.0000
0.0000 3.5407 0.0000
0.0000 0.0000 18.9106
Tb Er Ag
4 3 1
direct
0.0000 0.0000 0.1027
0.0000 0.0000 0.3679
0.0000 0.0000 0.6321
0.0000 0.0000 0.8973
0.5000 0.5000 0.2369
0.5000 0.5000 0.5000
0.5000 0.5000 0.7631
0.5000 0.5000 0.0000